Entry 1:
Material: Tl3ICl2
Method: DFT, PBE
State: relaxed

Cell: 6.807 9.420 8.220 Å, 106.64 114.46 90.00°
Fractional coordinates of all 12 atoms:
Tl  0.502  0.250  0.000
Tl  0.498  0.750  0.000
Tl  0.184  0.092  0.368
Tl  0.816  0.408  0.632
Tl  0.184  0.592  0.368
Tl  0.816  0.908  0.632
I  0.998  0.750  0.000
I  0.002  0.250  0.000
Cl  0.667  0.582  0.327
Cl  0.660  0.082  0.327
Cl  0.340  0.918  0.673
Cl  0.333  0.418  0.673

Energy relative to the lowest polymorph listed for this composition   0.000 eV per atom
E_form (uncorrected)   -881 meV/atom
Space group   No. 15
N(E_F)   0.000 states/eV/atom
Density   5.91 g/cm3
Total magnetization   0.0 μB/f.u.

=====

Entry 2:
Material: Tl5I4Cl
Method: DFT, PBE
State: relaxed

Cell: 4.956 4.956 17.766 Å, 98.02 98.02 90.00°
Fractional coordinates of all 10 atoms:
Tl  0.093  0.093  0.186
Tl  0.500  0.500  0.000
Tl  0.907  0.907  0.814
Tl  0.299  0.299  0.598
Tl  0.701  0.701  0.402
I  0.400  0.400  0.801
I  0.803  0.803  0.606
I  0.197  0.197  0.394
I  0.600  0.600  0.199
Cl  0.000  0.000  0.000

Energy relative to the lowest polymorph listed for this composition   0.005 eV per atom
E_form (uncorrected)   -721 meV/atom
Space group   No. 139
N(E_F)   0.000 states/eV/atom
Density   6.07 g/cm3
Total magnetization   0.0 μB/f.u.

=====

Entry 3:
Material: Tl4I3Cl
Method: DFT, PBE
State: relaxed

Cell: 8.505 8.526 9.844 Å, 90.00 90.00 109.54°
Fractional coordinates of all 16 atoms:
I  0.750  0.000  0.374
I  0.250  0.000  0.626
I  0.750  0.500  0.624
I  0.750  0.500  0.124
I  0.250  0.500  0.376
I  0.250  0.500  0.876
Tl  0.987  0.242  0.637
Tl  0.504  0.229  0.885
Tl  0.487  0.242  0.363
Tl  0.004  0.229  0.115
Tl  0.996  0.771  0.885
Tl  0.513  0.758  0.637
Tl  0.496  0.771  0.115
Tl  0.013  0.758  0.363
Cl  0.750  0.000  0.880
Cl  0.250  0.000  0.120

Energy relative to the lowest polymorph listed for this composition   0.000 eV per atom
E_form (uncorrected)   -742 meV/atom
Space group   No. 13
N(E_F)   0.000 states/eV/atom
Density   6.09 g/cm3
Total magnetization   0.0 μB/f.u.

=====

Entry 4:
Material: Tl5I4Cl
Method: DFT, PBE
State: relaxed

Cell: 7.048 8.548 8.548 Å, 80.22 65.65 65.65°
Fractional coordinates of all 10 atoms:
Tl  0.906  0.378  0.812
Tl  0.284  0.812  0.622
Tl  0.718  0.188  0.378
Tl  0.096  0.622  0.188
Tl  0.473  0.000  0.000
I  0.409  0.396  0.788
I  0.804  0.788  0.604
I  0.197  0.212  0.396
I  0.593  0.604  0.212
Cl  0.030  0.000  0.000

Energy relative to the lowest polymorph listed for this composition   0.000 eV per atom
E_form (uncorrected)   -726 meV/atom
Space group   No. 79
N(E_F)   0.000 states/eV/atom
Density   6.08 g/cm3
Total magnetization   0.0 μB/f.u.

=====

Entry 5:
Material: TlI3Cl
Method: DFT, PBE
State: relaxed

Cell: 6.049 6.049 6.049 Å, 90.00 90.00 90.00°
Last column: magnetic moment on the atom in μB.
Fractional coordinates of all 5 atoms:
I  0.000  0.500  0.000  0.16
I  0.000  0.000  0.500  0.13
I  0.500  0.000  0.000  0.20
Tl  0.000  0.000  0.000  -0.02
Cl  0.500  0.500  0.500  0.49

Energy relative to the lowest polymorph listed for this composition   0.488 eV per atom
E_form (uncorrected)   174 meV/atom
Space group   No. 221
N(E_F)   2.165 states/eV/atom
Density   4.66 g/cm3
Total magnetization   1.4 μB/f.u.

=====

Entry 6:
Material: TlICl2
Method: DFT, PBE
State: relaxed

Cell: 11.030 11.030 11.030 Å, 19.73 19.73 19.73°
Fractional coordinates of all 4 atoms:
I  0.500  0.500  0.500
Tl  0.000  0.000  0.000
Cl  0.923  0.923  0.923
Cl  0.077  0.077  0.077

Energy relative to the lowest polymorph listed for this composition   0.661 eV per atom
E_form (uncorrected)   56 meV/atom
Space group   No. 166
N(E_F)   1.504 states/eV/atom
Density   4.99 g/cm3
Total magnetization   0.0 μB/f.u.

=====

Which of these has the highest density? Tl4I3Cl